Computed, not measured: an optimized crystal structure of ZrCdSb2 at the PBE level of DFT. Values from VASP.

## Properties
N(E_F): 1.65 states/eV/f.u.
raw formation energy: -0.90 eV per formula unit
SG: Cmmm, No. 65

Structure (Quantum ESPRESSO input):
```
&SYSTEM
  ibrav = 0, nat = 4, ntyp = 3
/
ATOMIC_SPECIES
Zr 91.22 Zr.upf
Cd 112.41 Cd.upf
Sb 121.76 Sb.upf
CELL_PARAMETERS angstrom
1.9936 -2.4636 0.0000
1.9936 2.4636 0.0000
0.0000 0.0000 11.0712
ATOMIC_POSITIONS angstrom
Zr 0.0000 0.0000 0.0000
Cd 0.0000 0.0000 5.5356
Sb 1.9936 0.0000 2.2624
Sb 1.9936 0.0000 8.8088
```

---

Computed, not measured: an optimized crystal structure of Sc3Cd at the PBE level of DFT. Values from VASP.

## Properties
N(E_F): 6.27 states/eV/f.u.
SG: Pmmm, No. 47
E_form: -0.09 eV/atom

Structure (Quantum ESPRESSO input):
```
&SYSTEM
  ibrav = 0, nat = 4, ntyp = 2
/
ATOMIC_SPECIES
Sc 44.96 Sc.upf
Cd 112.41 Cd.upf
CELL_PARAMETERS angstrom
3.2970 0.0000 0.0000
0.0000 4.4703 0.0000
0.0000 0.0000 6.3423
ATOMIC_POSITIONS angstrom
Sc 0.0000 0.0000 0.0000
Sc 1.6485 2.2351 1.5767
Sc 1.6485 2.2351 4.7656
Cd 0.0000 0.0000 3.1712
```

---

Computed, not measured: an optimized crystal structure of Sc3Cd at the PBE level of DFT. Values from VASP.

## Properties
N(E_F): 4.84 states/eV/f.u.
SG: P6_3/mmc, No. 194
E_form: -0.13 eV/atom

Structure (Quantum ESPRESSO input):
```
&SYSTEM
  ibrav = 0, nat = 8, ntyp = 2
/
ATOMIC_SPECIES
Sc 44.96 Sc.upf
Cd 112.41 Cd.upf
CELL_PARAMETERS angstrom
6.3897 0.0000 0.0000
-3.1949 5.5337 0.0000
0.0000 0.0000 5.2139
ATOMIC_POSITIONS angstrom
Sc 0.0000 1.8693 1.3035
Sc -1.5760 4.5990 1.3035
Sc 1.6189 0.9347 3.9105
Sc 1.5760 4.5990 1.3035
Sc 4.7708 0.9347 3.9105
Sc 3.1949 3.6643 3.9105
Cd 0.0000 3.6891 3.9105
Cd 3.1949 1.8445 1.3035
```

---

Computed, not measured: an optimized crystal structure of Sc5Cd at the PBE level of DFT. Values from VASP.

## Properties
N(E_F): 9.48 states/eV/f.u.
SG: P4/mmm, No. 123
E_form: -0.07 eV/atom

Structure (Quantum ESPRESSO input):
```
&SYSTEM
  ibrav = 0, nat = 6, ntyp = 2
/
ATOMIC_SPECIES
Sc 44.96 Sc.upf
Cd 112.41 Cd.upf
CELL_PARAMETERS angstrom
3.2679 0.0000 0.0000
0.0000 3.2679 0.0000
0.0000 0.0000 13.3469
ATOMIC_POSITIONS angstrom
Sc 0.0000 0.0000 0.0000
Sc 0.0000 0.0000 4.5807
Sc 0.0000 0.0000 8.7661
Sc 1.6339 1.6339 2.2985
Sc 1.6339 1.6339 11.0484
Cd 1.6339 1.6339 6.6734
```

---

Computed, not measured: an optimized crystal structure of Sc3Cd at the PBE level of DFT. Values from VASP.

## Properties
N(E_F): 5.05 states/eV/f.u.
SG: Pmm2, No. 25
E_form: 0.10 eV/atom

Structure (Quantum ESPRESSO input):
```
&SYSTEM
  ibrav = 0, nat = 4, ntyp = 2
/
ATOMIC_SPECIES
Sc 44.96 Sc.upf
Cd 112.41 Cd.upf
CELL_PARAMETERS angstrom
3.0921 0.0000 0.0000
0.0000 3.2149 0.0000
0.0000 0.0000 9.8590
ATOMIC_POSITIONS angstrom
Sc 0.0000 0.0000 0.0000
Sc 0.0000 1.6074 2.7627
Sc 1.5461 1.6074 7.5537
Cd 1.5461 0.0000 4.9236
```

---

Computed, not measured: an optimized crystal structure of Sc2Cd3 at the PBE level of DFT. Values from VASP.

## Properties
N(E_F): 3.44 states/eV/f.u.
SG: R-3m, No. 166
E_form: -0.11 eV/atom

Structure (Quantum ESPRESSO input):
```
&SYSTEM
  ibrav = 0, nat = 5, ntyp = 2
/
ATOMIC_SPECIES
Sc 44.96 Sc.upf
Cd 112.41 Cd.upf
CELL_PARAMETERS angstrom
1.6798 0.9698 11.9347
-1.6798 0.9698 11.9347
0.0000 -1.9397 11.9347
ATOMIC_POSITIONS angstrom
Sc 0.0000 0.0000 3.5739
Sc 0.0000 0.0000 32.2301
Cd 0.0000 0.0000 10.7437
Cd 0.0000 0.0000 17.9020
Cd 0.0000 0.0000 25.0604
```

---

Computed, not measured: an optimized crystal structure of Sc5Cd3 at the PBE level of DFT. Values from VASP.

## Properties
N(E_F): 12.03 states/eV/f.u.
SG: C2/c, No. 15
E_form: -0.14 eV/atom

Structure (Quantum ESPRESSO input):
```
&SYSTEM
  ibrav = 0, nat = 16, ntyp = 2
/
ATOMIC_SPECIES
Sc 44.96 Sc.upf
Cd 112.41 Cd.upf
CELL_PARAMETERS angstrom
6.3950 -5.7883 0.0000
6.3950 5.7883 0.0000
-2.3504 0.0000 4.9868
ATOMIC_POSITIONS angstrom
Sc 5.8074 -5.7880 1.2467
Sc 4.6322 5.7880 3.7401
Sc 2.9044 0.9344 1.3899
Sc 3.2006 2.5663 4.5898
Sc 1.7292 -0.9344 3.8833
Sc 6.0638 2.5663 2.8905
Sc 4.3758 -2.5663 2.0964
Sc 8.7104 0.9344 1.1035
Sc 7.2390 -2.5663 0.3971
Sc 7.5352 -0.9344 3.5969
Cd 0.5523 1.9128 3.3132
Cd 9.8874 -1.9128 1.6736
Cd 1.7275 -1.9128 0.8198
Cd 5.8074 -0.0004 1.2467
Cd 4.6322 0.0004 3.7401
Cd 8.7122 1.9128 4.1670
```

---

Computed, not measured: an optimized crystal structure of Sc3Cd at the PBE level of DFT. Values from VASP.

## Properties
N(E_F): 6.05 states/eV/f.u.
SG: Pm-3n, No. 223
E_form: -0.08 eV/atom

Structure (Quantum ESPRESSO input):
```
&SYSTEM
  ibrav = 0, nat = 8, ntyp = 2
/
ATOMIC_SPECIES
Sc 44.96 Sc.upf
Cd 112.41 Cd.upf
CELL_PARAMETERS angstrom
5.6876 0.0000 0.0000
0.0000 5.6876 0.0000
0.0000 0.0000 5.6876
ATOMIC_POSITIONS angstrom
Sc 0.0000 1.4219 2.8438
Sc 0.0000 4.2657 2.8438
Sc 1.4219 2.8438 0.0000
Sc 2.8438 0.0000 1.4219
Sc 2.8438 0.0000 4.2657
Sc 4.2657 2.8438 0.0000
Cd 0.0000 0.0000 0.0000
Cd 2.8438 2.8438 2.8438
```

---

Computed, not measured: an optimized crystal structure of Sc3Cd at the PBE level of DFT. Values from VASP.

## Properties
N(E_F): 6.27 states/eV/f.u.
SG: Pm-3m, No. 221
E_form: 1.00 eV/atom

Structure (Quantum ESPRESSO input):
```
&SYSTEM
  ibrav = 0, nat = 4, ntyp = 2
/
ATOMIC_SPECIES
Sc 44.96 Sc.upf
Cd 112.41 Cd.upf
CELL_PARAMETERS angstrom
5.4053 0.0000 0.0000
0.0000 5.4053 0.0000
0.0000 0.0000 5.4053
ATOMIC_POSITIONS angstrom
Sc 0.0000 0.0000 2.7026
Sc 0.0000 2.7026 0.0000
Sc 2.7026 0.0000 0.0000
Cd 0.0000 0.0000 0.0000
```

---

Computed, not measured: an optimized crystal structure of ScCd7 at the PBE level of DFT. Values from VASP.

## Properties
N(E_F): 6.46 states/eV/f.u.
SG: Fm-3m, No. 225
E_form: -0.07 eV/atom

Structure (Quantum ESPRESSO input):
```
&SYSTEM
  ibrav = 0, nat = 8, ntyp = 2
/
ATOMIC_SPECIES
Sc 44.96 Sc.upf
Cd 112.41 Cd.upf
CELL_PARAMETERS angstrom
0.0000 4.4834 4.4834
4.4834 0.0000 4.4834
4.4834 4.4834 0.0000
ATOMIC_POSITIONS angstrom
Sc 0.0000 0.0000 0.0000
Cd 2.2417 2.2417 0.0000
Cd 2.2417 0.0000 2.2417
Cd 4.4834 2.2417 2.2417
Cd 0.0000 2.2417 2.2417
Cd 2.2417 4.4834 2.2417
Cd 2.2417 2.2417 4.4834
Cd 4.4834 4.4834 4.4834
```

---

Computed, not measured: an optimized crystal structure of ScCd8 at the PBE level of DFT. Values from VASP.

## Properties
N(E_F): 3.20 states/eV/f.u.
SG: I4/mmm, No. 139
E_form: -0.09 eV/atom

Structure (Quantum ESPRESSO input):
```
&SYSTEM
  ibrav = 0, nat = 9, ntyp = 2
/
ATOMIC_SPECIES
Sc 44.96 Sc.upf
Cd 112.41 Cd.upf
CELL_PARAMETERS angstrom
-4.6825 4.6825 2.2556
4.6825 -4.6825 2.2556
4.6825 4.6825 -2.2556
ATOMIC_POSITIONS angstrom
Sc 0.0000 0.0000 0.0000
Cd 3.1270 0.0000 0.0000
Cd 6.2379 0.0000 0.0000
Cd 3.1215 3.1215 0.0000
Cd 1.5609 -1.5609 2.2556
Cd 0.0000 3.1270 0.0000
Cd 0.0000 6.2379 0.0000
Cd -1.5609 1.5609 2.2556
Cd 1.5609 1.5609 2.2556
```

---

Computed, not measured: an optimized crystal structure of Sc3Cd at the PBE level of DFT. Values from VASP.

## Properties
N(E_F): 4.03 states/eV/f.u.
SG: Immm, No. 71
E_form: -0.13 eV/atom

Structure (Quantum ESPRESSO input):
```
&SYSTEM
  ibrav = 0, nat = 4, ntyp = 2
/
ATOMIC_SPECIES
Sc 44.96 Sc.upf
Cd 112.41 Cd.upf
CELL_PARAMETERS angstrom
-1.7990 2.4672 5.2437
1.7990 -2.4672 5.2437
1.7990 2.4672 -5.2437
ATOMIC_POSITIONS angstrom
Sc 0.0000 0.0000 0.0000
Sc 1.7990 0.0000 2.8329
Sc 0.0000 2.4672 2.4107
Cd 0.0000 0.0000 5.2437
```